Entry 1:
## Dy4Tl2Au (PBE-GGA)

Data for a relaxed structure of Dy4Tl2Au.

- VASP energy: -4.124 eV per atom
- Space group: R-3m
- Size of the total moment: 0.00 μB per formula unit
- V: 28.81 A^3/atom
- ΔH_f (0 K): -0.350 eV per atom

a b c (Å): 5.2226 5.2226 9.0548
angles (deg): 73.24 73.24 60.00
With the nearest neighbours (Å) after each atom.
Sites, in units of the cell vectors:
Tl: 0.7557 0.7557 0.7328  8 Dy 3.13-3.30
Tl: 0.2443 0.2443 0.2672  8 Dy 3.13-3.30
Au: 0.0000 0.0000 0.0000  8 Dy 3.12-3.18
Dy: 0.3731 0.3731 0.8806  3 Au 3.18, 4 Tl 3.27-3.30
Dy: 0.1220 0.1220 0.6340  1 Au 3.12, 4 Tl 3.13
Dy: 0.6269 0.6269 0.1194  3 Au 3.18, 4 Tl 3.27-3.30
Dy: 0.8780 0.8780 0.3660  1 Au 3.12, 4 Tl 3.13

***

Entry 2:
## HfSc3P (PBE-GGA)

Data for a relaxed structure of HfSc3P.

- VASP energy: -7.083 eV per atom
- Offset from the most stable computed form: 0 meV per atom
- Space group: Pm-3m
- Size of the total moment: 2.58 μB per formula unit
- V: 23.94 A^3/atom
- ΔH_f (0 K): -0.211 eV per atom

a b c (Å): 4.9285 4.9285 4.9285
angles (deg): 90.00 90.00 90.00
With the nearest neighbours (Å) after each atom.
Sites, in units of the cell vectors:
P: 0.0000 0.0000 0.0000  6 Sc 2.46
Hf: 0.5000 0.5000 0.5000  12 Sc 3.48
Sc: 0.0000 0.5000 0.0000  2 P 2.46
Sc: 0.0000 0.0000 0.5000  2 P 2.46
Sc: 0.5000 0.0000 0.0000  2 P 2.46

***

Entry 3:
## LaMgBi3 (PBE-GGA)

Data for a relaxed structure of LaMgBi3.

- VASP energy: -4.126 eV per atom
- Offset from the most stable computed form: 0 meV per atom
- Space group: Pbcm
- Size of the total moment: 0.00 μB per formula unit
- V: 30.78 A^3/atom
- ΔH_f (0 K): -0.493 eV per atom

a b c (Å): 6.6331 6.5479 14.1731
angles (deg): 90.00 90.00 90.00
With the nearest neighbours (Å) after each atom.
Sites, in units of the cell vectors:
La: 0.2500 0.0020 0.6826  9 Bi 3.36-3.58, 2 Mg 3.76
La: 0.2500 0.5020 0.3174  9 Bi 3.36-3.58, 2 Mg 3.76
La: 0.7500 0.9980 0.3174  9 Bi 3.36-3.58, 2 Mg 3.76
La: 0.7500 0.4980 0.6826  9 Bi 3.36-3.58, 2 Mg 3.76
Mg: 0.0000 0.7500 0.8900  6 Bi 3.13-3.28, 2 Mg 3.32
Mg: 0.0000 0.2500 0.1100  6 Bi 3.13-3.28, 2 Mg 3.32
Mg: 0.5000 0.7500 0.8900  6 Bi 3.13-3.28, 2 Mg 3.32
Mg: 0.5000 0.2500 0.1100  6 Bi 3.13-3.28, 2 Mg 3.32
Bi: 0.0000 0.7500 0.5017  4 Bi 3.27-3.32, 4 La 3.47-3.49
Bi: 0.0000 0.2500 0.4983  4 Bi 3.27-3.32, 4 La 3.47-3.49
Bi: 0.2500 0.4973 0.7433  2 Mg 3.13, 1 Bi 3.29, 4 La 3.36-3.43
Bi: 0.7500 0.5027 0.2567  2 Mg 3.13, 1 Bi 3.29, 4 La 3.36-3.43
Bi: 0.5000 0.2500 0.4983  4 Bi 3.27-3.32, 4 La 3.47-3.49
Bi: 0.2500 0.6761 0.0779  4 Mg 3.17-3.28, 3 Bi 3.29-3.46
Bi: 0.7500 0.3239 0.9221  4 Mg 3.17-3.28, 3 Bi 3.29-3.46
Bi: 0.2500 0.1761 0.9221  4 Mg 3.17-3.28, 3 Bi 3.29-3.46
Bi: 0.2500 0.9973 0.2567  2 Mg 3.13, 1 Bi 3.29, 4 La 3.36-3.43
Bi: 0.5000 0.7500 0.5017  4 Bi 3.27-3.32, 4 La 3.47-3.49
Bi: 0.7500 0.8239 0.0779  4 Mg 3.17-3.28, 3 Bi 3.29-3.46
Bi: 0.7500 0.0027 0.7433  2 Mg 3.13, 1 Bi 3.29, 4 La 3.36-3.43

***

Entry 4:
## Ba2ZrSe2S2 (PBE-GGA)

Data for a relaxed structure of Ba2ZrSe2S2.

- VASP energy: -5.814 eV per atom
- Formation energy without anion corrections: -1.869 eV per atom
- Space group: I4/mmm
- Size of the total moment: 0.00 μB per formula unit
- V: 29.82 A^3/atom

a b c (Å): 5.0218 5.0218 9.0076
angles (deg): 106.19 106.19 90.00
With the nearest neighbours (Å) after each atom.
Sites, in units of the cell vectors:
Se: 0.8350 0.8350 0.6700  1 Zr 2.73
Se: 0.1650 0.1650 0.3300  1 Zr 2.73
Ba: 0.6385 0.6385 0.2770  5 Se 3.25-3.58, 4 S 3.40
Ba: 0.3615 0.3615 0.7230  5 Se 3.25-3.58, 4 S 3.40
S: 0.0000 0.5000 0.0000  2 Zr 2.51
S: 0.5000 0.0000 0.0000  2 Zr 2.51
Zr: 0.0000 0.0000 0.0000  4 S 2.51, 2 Se 2.73

***

Entry 5:
## V3Cd (PBE-GGA)

Data for a relaxed structure of V3Cd.

- VASP energy: -6.704 eV per atom
- Offset from the most stable computed form: 36 meV per atom
- Space group: Pm-3m
- Size of the total moment: 1.22 μB per formula unit
- V: 15.16 A^3/atom
- ΔH_f (0 K): 0.364 eV per atom

a b c (Å): 3.9288 3.9288 3.9288
angles (deg): 90.00 90.00 90.00
With the nearest neighbours (Å) after each atom.
Sites, in units of the cell vectors:
V: 0.0000 0.5000 0.5000  4 Cd 2.78, 8 V 2.78
V: 0.5000 0.0000 0.5000  4 Cd 2.78, 8 V 2.78
V: 0.5000 0.5000 0.0000  4 Cd 2.78, 8 V 2.78
Cd: 0.0000 0.0000 0.0000  12 V 2.78

***

Entry 6:
## GaH12C4NCl3 (PBE-GGA)

Data for a relaxed structure of GaH12C4NCl3.

- VASP energy: -4.873 eV per atom
- Space group: Pa-3
- Size of the total moment: 0.00 μB per formula unit
- V: 15.02 A^3/atom

a b c (Å): 13.6152 13.6152 13.6152
angles (deg): 90.00 90.00 90.00
With the nearest neighbours (Å) after each atom.
Sites, in units of the cell vectors:
H: 0.2635 0.3441 0.7102  1 C 1.10
H: 0.3328 0.8740 0.3359  1 C 1.10
H: 0.5773 0.7684 0.7668  1 C 1.10
H: 0.2332 0.4227 0.2316  1 C 1.10
H: 0.5694 0.8532 0.2155  1 C 1.10
H: 0.9227 0.2684 0.7668  1 C 1.10
H: 0.2316 0.2332 0.4227  1 C 1.10
H: 0.1672 0.1260 0.8359  1 C 1.10
H: 0.7668 0.9227 0.2684  1 C 1.10
H: 0.6641 0.6672 0.1260  1 C 1.10
H: 0.8359 0.1672 0.1260  1 C 1.10
H: 0.9306 0.1468 0.7155  1 C 1.10
H: 0.2635 0.1559 0.2102  1 C 1.10
H: 0.2365 0.6559 0.2102  1 C 1.10
H: 0.6559 0.2898 0.7365  1 C 1.10
H: 0.3740 0.3359 0.1672  1 C 1.10
H: 0.1260 0.6641 0.6672  1 C 1.10
H: 0.9227 0.2316 0.2668  1 C 1.10
H: 0.4227 0.2316 0.2332  1 C 1.10
H: 0.8532 0.2845 0.0694  1 C 1.10
H: 0.3328 0.6260 0.8359  1 C 1.10
H: 0.2845 0.4306 0.3532  1 C 1.10
H: 0.2684 0.7332 0.4227  1 C 1.10
H: 0.1559 0.2102 0.2635  1 C 1.10
H: 0.6641 0.8328 0.6260  1 C 1.10
H: 0.3441 0.7102 0.2635  1 C 1.10
H: 0.2668 0.5773 0.7316  1 C 1.10
H: 0.2898 0.7365 0.6559  1 C 1.10
H: 0.6468 0.7845 0.0694  1 C 1.10
H: 0.7684 0.7668 0.5773  1 C 1.10
H: 0.4227 0.2684 0.7332  1 C 1.10
H: 0.2332 0.0773 0.7316  1 C 1.10
H: 0.6672 0.1260 0.6641  1 C 1.10
H: 0.7316 0.2668 0.5773  1 C 1.10
H: 0.7635 0.1559 0.2898  1 C 1.10
H: 0.1559 0.2898 0.7635  1 C 1.10
H: 0.2845 0.0694 0.8532  1 C 1.10
H: 0.7365 0.6559 0.2898  1 C 1.10
H: 0.1468 0.7845 0.4306  1 C 1.10
H: 0.6260 0.6641 0.8328  1 C 1.10
H: 0.0694 0.8532 0.2845  1 C 1.10
H: 0.7155 0.5694 0.6468  1 C 1.10
H: 0.1468 0.7155 0.9306  1 C 1.10
H: 0.2684 0.7668 0.9227  1 C 1.10
H: 0.2155 0.9306 0.3532  1 C 1.10
H: 0.8359 0.3328 0.6260  1 C 1.10
H: 0.1641 0.6672 0.3740  1 C 1.10
H: 0.0773 0.7684 0.7332  1 C 1.10
H: 0.7332 0.0773 0.7684  1 C 1.10
H: 0.7316 0.2332 0.0773  1 C 1.10
H: 0.3441 0.7898 0.7635  1 C 1.10
H: 0.7102 0.2635 0.3441  1 C 1.10
H: 0.3532 0.2155 0.9306  1 C 1.10
H: 0.0773 0.7316 0.2332  1 C 1.10
H: 0.6559 0.2102 0.2365  1 C 1.10
H: 0.8441 0.7898 0.7365  1 C 1.10
H: 0.8740 0.1641 0.8328  1 C 1.10
H: 0.4306 0.3532 0.2845  1 C 1.10
H: 0.2102 0.2365 0.6559  1 C 1.10
H: 0.7102 0.2365 0.8441  1 C 1.10
H: 0.3359 0.3328 0.8740  1 C 1.10
H: 0.3740 0.1641 0.6672  1 C 1.10
H: 0.2102 0.2635 0.1559  1 C 1.10
H: 0.6468 0.7155 0.5694  1 C 1.10
H: 0.2316 0.2668 0.9227  1 C 1.10
H: 0.1672 0.3740 0.3359  1 C 1.10
H: 0.8740 0.3359 0.3328  1 C 1.10
H: 0.2898 0.7635 0.1559  1 C 1.10
H: 0.1260 0.8359 0.1672  1 C 1.10
H: 0.2668 0.9227 0.2316  1 C 1.10
H: 0.2155 0.5694 0.8532  1 C 1.10
H: 0.9306 0.3532 0.2155  1 C 1.10
H: 0.6260 0.8359 0.3328  1 C 1.10
H: 0.7668 0.5773 0.7684  1 C 1.10
H: 0.0694 0.6468 0.7845  1 C 1.10
H: 0.4306 0.1468 0.7845  1 C 1.10
H: 0.7365 0.8441 0.7898  1 C 1.10
H: 0.2365 0.8441 0.7102  1 C 1.10
H: 0.1641 0.8328 0.8740  1 C 1.10
H: 0.7635 0.3441 0.7898  1 C 1.10
H: 0.3532 0.2845 0.4306  1 C 1.10
H: 0.7684 0.7332 0.0773  1 C 1.10
H: 0.3359 0.1672 0.3740  1 C 1.10
H: 0.7332 0.4227 0.2684  1 C 1.10
H: 0.8328 0.6260 0.6641  1 C 1.10
H: 0.8532 0.2155 0.5694  1 C 1.10
H: 0.7898 0.7635 0.3441  1 C 1.10
H: 0.6672 0.3740 0.1641  1 C 1.10
H: 0.5694 0.6468 0.7155  1 C 1.10
H: 0.5773 0.7316 0.2668  1 C 1.10
H: 0.7845 0.4306 0.1468  1 C 1.10
H: 0.7898 0.7365 0.8441  1 C 1.10
H: 0.8441 0.7102 0.2365  1 C 1.10
H: 0.8328 0.8740 0.1641  1 C 1.10
H: 0.7845 0.0694 0.6468  1 C 1.10
H: 0.7155 0.9306 0.1468  1 C 1.10
N: 0.7113 0.7887 0.2113  4 C 1.50
N: 0.7113 0.7113 0.7113  4 C 1.50
N: 0.2113 0.7887 0.2887  4 C 1.50
N: 0.2887 0.2113 0.7887  4 C 1.50
N: 0.2113 0.7113 0.7887  4 C 1.50
N: 0.7887 0.2887 0.2113  4 C 1.50
N: 0.2887 0.2887 0.2887  4 C 1.50
N: 0.7887 0.2113 0.7113  4 C 1.50
Cl: 0.7116 0.0044 0.4450  1 Ga 2.27
Cl: 0.0550 0.2116 0.0044  1 Ga 2.27
Cl: 0.5044 0.0550 0.2884  1 Ga 2.27
Cl: 0.9450 0.7116 0.4956  1 Ga 2.27
Cl: 0.4956 0.5550 0.2116  1 Ga 2.27
Cl: 0.7884 0.5044 0.4450  1 Ga 2.27
Cl: 0.2116 0.4956 0.5550  1 Ga 2.27
Cl: 0.0044 0.4450 0.7116  1 Ga 2.27
Cl: 0.4956 0.9450 0.7116  1 Ga 2.27
Cl: 0.5550 0.2116 0.4956  1 Ga 2.27
Cl: 0.5550 0.2884 0.9956  1 Ga 2.27
Cl: 0.5044 0.4450 0.7884  1 Ga 2.27
Cl: 0.7884 0.9956 0.9450  1 Ga 2.27
Cl: 0.4450 0.7884 0.5044  1 Ga 2.27
Cl: 0.2116 0.0044 0.0550  1 Ga 2.27
Cl: 0.9956 0.9450 0.7884  1 Ga 2.27
Cl: 0.7116 0.4956 0.9450  1 Ga 2.27
Cl: 0.0550 0.2884 0.5044  1 Ga 2.27
Cl: 0.2884 0.9956 0.5550  1 Ga 2.27
Cl: 0.2884 0.5044 0.0550  1 Ga 2.27
Cl: 0.9956 0.5550 0.2884  1 Ga 2.27
Cl: 0.9450 0.7884 0.9956  1 Ga 2.27
Cl: 0.0044 0.0550 0.2116  1 Ga 2.27
Cl: 0.4450 0.7116 0.0044  1 Ga 2.27
C: 0.2250 0.2250 0.2250  3 H 1.10
C: 0.2604 0.8864 0.3032  3 H 1.10
C: 0.6968 0.7604 0.6136  3 H 1.10
C: 0.7250 0.2750 0.7750  3 H 1.10
C: 0.2250 0.2750 0.7250  3 H 1.10
C: 0.2396 0.3864 0.3032  3 H 1.10
C: 0.8864 0.3032 0.2604  3 H 1.10
C: 0.3864 0.3032 0.2396  3 H 1.10
C: 0.3032 0.2396 0.3864  3 H 1.10
C: 0.8032 0.2396 0.1136  3 H 1.10
C: 0.2396 0.1136 0.8032  3 H 1.10
C: 0.3864 0.1968 0.7396  3 H 1.10
C: 0.6136 0.8032 0.2604  3 H 1.10
C: 0.7396 0.1136 0.6968  3 H 1.10
C: 0.1968 0.7604 0.8864  3 H 1.10
C: 0.7604 0.6136 0.6968  3 H 1.10
C: 0.1968 0.7396 0.3864  3 H 1.10
C: 0.8864 0.1968 0.7604  3 H 1.10
C: 0.1136 0.8032 0.2396  3 H 1.10
C: 0.3032 0.2604 0.8864  3 H 1.10
C: 0.6968 0.7396 0.1136  3 H 1.10
C: 0.8032 0.2604 0.6136  3 H 1.10
C: 0.7396 0.3864 0.1968  3 H 1.10
C: 0.7604 0.8864 0.1968  3 H 1.10
C: 0.2750 0.7250 0.2250  3 H 1.10
C: 0.7250 0.2250 0.2750  3 H 1.10
C: 0.2750 0.7750 0.7250  3 H 1.10
C: 0.6136 0.6968 0.7604  3 H 1.10
C: 0.1136 0.6968 0.7396  3 H 1.10
C: 0.2604 0.6136 0.8032  3 H 1.10
C: 0.7750 0.7250 0.2750  3 H 1.10
C: 0.7750 0.7750 0.7750  3 H 1.10
Ga: 0.9483 0.9483 0.9483  3 Cl 2.27, 1 Ga 2.44
Ga: 0.0517 0.4483 0.5517  3 Cl 2.27, 1 Ga 2.44
Ga: 0.4483 0.5517 0.0517  3 Cl 2.27, 1 Ga 2.44
Ga: 0.5517 0.4483 0.9483  3 Cl 2.27, 1 Ga 2.44
Ga: 0.5517 0.0517 0.4483  3 Cl 2.27, 1 Ga 2.44
Ga: 0.4483 0.9483 0.5517  3 Cl 2.27, 1 Ga 2.44
Ga: 0.0517 0.0517 0.0517  3 Cl 2.27, 1 Ga 2.44
Ga: 0.9483 0.5517 0.4483  3 Cl 2.27, 1 Ga 2.44